# 1
FeRe2HOs | GGA-PBE | relaxed

a b c (Å): 3.8835 3.8835 3.7827
angles (deg): 90.00 90.00 90.00
Element x y z (fractional)
Re (0.0000, 0.5000, 0.0000)
Re (0.5000, 0.0000, 0.0000)
Os (0.5000, 0.5000, 0.5000)
Fe (0.0000, 0.0000, 0.5000)
H (0.0000, 0.0000, 0.0000)

Summary:
* space group: No. 123

***

# 2
Fe2ReHOs | GGA-PBE | relaxed

a b c (Å): 3.7117 3.7117 3.7956
angles (deg): 90.00 90.00 90.00
Element x y z (fractional)
Re (0.0000, 0.0000, 0.5000)
Os (0.5000, 0.5000, 0.5000)
Fe (0.0000, 0.5000, 0.0000)
Fe (0.5000, 0.0000, 0.0000)
H (0.0000, 0.0000, 0.0000)

Summary:
* space group: No. 123

***

# 3
Fe2ReHOs | GGA-PBE | relaxed

a b c (Å): 3.7283 3.7283 3.7568
angles (deg): 90.00 90.00 90.00
Element x y z (fractional)
Re (0.5000, 0.5000, 0.5000)
Os (0.0000, 0.0000, 0.5000)
Fe (0.0000, 0.5000, 0.0000)
Fe (0.5000, 0.0000, 0.0000)
H (0.0000, 0.0000, 0.0000)

Summary:
* space group: No. 123

***

E_tot per entry: -47.2, -43.3, -43.4 eV per cell
N(E_F) per entry: 3.45, 4.48, 3.52 states/eV per cell
Magnetization per entry: 0.000, 0.000, 0.000 μB per atom